1.
# PBE Tb3PmBi4, relaxed
data_Tb3PmBi4
_chemical_formula_sum 'Tb3 Pm1 Bi4'
_cell_length_a 6.381
_cell_length_b 6.381
_cell_length_c 6.381
_cell_angle_alpha 90.00
_cell_angle_beta 90.00
_cell_angle_gamma 90.00
_space_group_name_H-M_alt 'P m -3 m'
_space_group_IT_number 221
_space_group_name_Hall '-P 4 2 3'
loop_
_atom_site_label
_atom_site_type_symbol
_atom_site_fract_x
_atom_site_fract_y
_atom_site_fract_z
Tb1 Tb 0.000 0.000 0.500
Pm1 Pm 0.500 0.500 0.500
Bi1 Bi 0.000 0.000 0.000
Bi2 Bi 0.000 0.500 0.500
# theoretical density	9.317	g/cm3
# final energy	-5.168	eV/atom
# polymorph energy (0 for the lowest one)	0	meV per atom
# DFT formation energy	-0.897	eV per atom

---

2.
# PBE Tb3Pm4Bi8, relaxed
data_Tb3Pm4Bi8
_chemical_formula_sum 'Tb6 Pm8 Bi16'
_cell_length_a 12.771
_cell_length_b 12.782
_cell_length_c 8.999
_cell_angle_alpha 90.00
_cell_angle_beta 134.73
_cell_angle_gamma 90.00
_space_group_name_H-M_alt 'C 1 2/m 1'
_space_group_IT_number 12
_space_group_name_Hall '-C 2y'
loop_
_atom_site_label
_atom_site_type_symbol
_atom_site_fract_x
_atom_site_fract_y
_atom_site_fract_z
Tb1 Tb 0.000 0.000 0.000
Tb2 Tb 0.250 0.250 0.500
Pm1 Pm 0.000 0.000 0.500
Pm2 Pm 0.000 0.500 0.000
Pm3 Pm 0.250 0.250 0.000
Bi1 Bi 0.000 0.248 0.000
Bi2 Bi 0.000 0.256 0.500
Bi3 Bi 0.246 0.500 0.505
Bi4 Bi 0.246 0.500 0.988
# theoretical density	8.684	g/cm3
# final energy	-4.979	eV/atom
# DFT formation energy	-0.716	eV per atom

---

3.
# PBE TbPmBi2, relaxed
data_TbPmBi2
_chemical_formula_sum 'Tb2 Pm2 Bi4'
_cell_length_a 7.855
_cell_length_b 4.542
_cell_length_c 7.853
_cell_angle_alpha 90.00
_cell_angle_beta 109.57
_cell_angle_gamma 90.00
_space_group_name_H-M_alt 'C 1 2/m 1'
_space_group_IT_number 12
_space_group_name_Hall '-C 2y'
loop_
_atom_site_label
_atom_site_type_symbol
_atom_site_fract_x
_atom_site_fract_y
_atom_site_fract_z
Tb1 Tb 0.000 0.000 0.000
Pm1 Pm 0.000 0.500 0.500
Bi1 Bi 0.248 0.500 0.244
# theoretical density	9.082	g/cm3
# final energy	-5.195	eV/atom
# polymorph energy (0 for the lowest one)	0	meV per atom
# DFT formation energy	-0.909	eV per atom

---

Among the records above, which one has the lowest DFT formation energy?
TbPmBi2